Below is a geometry-optimized Pr8SnSe6 structure, with properties calculated at the GGA-PBE level.

Lattice parameters (Å, degrees): 4.280 10.970 10.970 120.00 90.00 90.00
Fractional coordinates of all 15 atoms:
Se  0.250  0.517  0.649
Se  0.750  0.868  0.517
Se  0.250  0.132  0.483
Se  0.750  0.649  0.132
Se  0.250  0.351  0.868
Se  0.750  0.483  0.351
Pr  0.253  0.035  0.710
Pr  0.747  0.965  0.290
Pr  0.747  0.325  0.035
Pr  0.749  0.333  0.667
Pr  0.747  0.710  0.675
Pr  0.251  0.667  0.333
Pr  0.253  0.675  0.965
Pr  0.253  0.290  0.325
Sn  0.500  0.000  0.000

The uncorrected formation energy is -1.4105 eV/atom.

Below is a geometry-optimized Dy5Y8In structure, with properties calculated at the GGA-PBE level.

Lattice parameters (Å, degrees): 8.514 8.514 8.514 103.85 121.41 103.85
Fractional coordinates of all 14 atoms:
Dy  0.911  0.193  0.103
Dy  0.500  0.000  0.500
Dy  0.910  0.807  0.718
Dy  0.897  0.807  0.090
Dy  0.282  0.193  0.089
Y  0.579  0.339  0.918
Y  0.458  0.917  0.958
Y  0.082  0.660  0.421
Y  0.579  0.661  0.239
Y  0.761  0.340  0.421
Y  0.042  0.501  0.959
Y  0.041  0.083  0.542
Y  0.458  0.499  0.542
In  0.250  0.500  0.750

Its energy of formation from the pure elements is 0.121 eV per atom.

Below is a geometry-optimized Sr2InBr structure, with properties calculated at the GGA-PBE level.

Lattice parameters (Å, degrees): 9.280 9.280 9.280 154.81 153.76 36.69
Fractional coordinates of all 4 atoms:
Sr  0.705  0.205  0.500
Sr  0.948  0.948  0.000
Br  0.545  0.545  0.000
In  0.302  0.802  0.500

The uncorrected formation energy is -0.8510 eV/atom.

Below is a geometry-optimized Ti4VTc5 structure, with properties calculated at the GGA-PBE level.

Lattice parameters (Å, degrees): 3.085 3.085 15.481 90.00 90.00 90.00
Fractional coordinates of all 10 atoms:
Tc  0.500  0.500  0.095
Tc  0.500  0.500  0.298
Tc  0.500  0.500  0.905
Tc  0.500  0.500  0.702
Tc  0.500  0.500  0.500
Ti  0.000  0.000  0.601
Ti  0.000  0.000  0.802
Ti  0.000  0.000  0.399
Ti  0.000  0.000  0.198
V  0.000  0.000  0.000

Its energy of formation from the pure elements is -0.474 eV per atom.

Below is a geometry-optimized LaSc2V structure, with properties calculated at the GGA-PBE level.

Lattice parameters (Å, degrees): 3.442 3.442 8.489 90.00 90.00 90.00
Each line ends with the local moment (μB).
Fractional coordinates of all 4 atoms:
Sc  0.000  0.000  0.188  0.19
Sc  0.000  0.000  0.812  0.19
V  0.500  0.500  0.000  2.16
La  0.500  0.500  0.500  0.10

Its energy of formation from the pure elements is 0.182 eV per atom.

Below is a geometry-optimized AuNClF2 structure, with properties calculated at the GGA-PBE level.

Lattice parameters (Å, degrees): 4.781 4.781 3.240 90.00 90.00 90.00
Fractional coordinates of all 5 atoms:
F  0.500  0.000  0.000
F  0.000  0.500  0.000
N  0.000  0.000  0.500
Cl  0.000  0.000  0.000
Au  0.500  0.500  0.500

The uncorrected formation energy is 0.8018 eV/atom.

Below is a geometry-optimized AcCu2Pt4 structure, with properties calculated at the GGA-PBE level.

Lattice parameters (Å, degrees): 6.100 6.100 6.100 101.13 101.13 127.87
Fractional coordinates of all 7 atoms:
Pt  0.500  0.267  0.767
Pt  0.500  0.733  0.233
Pt  0.267  0.500  0.767
Pt  0.733  0.500  0.233
Cu  0.750  0.250  0.500
Cu  0.250  0.750  0.500
Ac  0.000  0.000  0.000

Its energy of formation from the pure elements is -0.012 eV per atom.

Below is a geometry-optimized ZrCu6O12 structure, with properties calculated at the GGA-PBE level.

Lattice parameters (Å, degrees): 6.825 7.817 7.335 119.23 113.24 111.15
Each line ends with the local moment (μB).
Fractional coordinates of all 19 atoms:
Cu  0.806  0.443  0.626  0.04
Cu  0.411  0.529  0.803  0.09
Cu  0.527  0.098  0.755  0.11
Cu  0.589  0.471  0.197  0.09
Cu  0.194  0.557  0.374  0.04
Cu  0.473  0.902  0.245  0.11
O  0.147  0.322  0.407  0.04
O  0.600  0.885  0.747  0.02
O  0.231  0.792  0.353  0.20
O  0.639  0.760  0.204  0.20
O  0.758  0.646  0.891  0.10
O  0.209  0.637  0.843  0.02
O  0.791  0.363  0.157  0.02
O  0.400  0.115  0.253  0.02
O  0.853  0.678  0.593  0.04
O  0.361  0.240  0.796  0.20
O  0.242  0.354  0.109  0.10
O  0.769  0.208  0.647  0.20
Zr  0.000  0.000  0.000  -0.01

The uncorrected formation energy is -0.6440 eV/atom.

Below is a geometry-optimized KSrIn4 structure, with properties calculated at the GGA-PBE level.

Lattice parameters (Å, degrees): 6.355 6.355 6.355 60.00 60.00 60.00
Fractional coordinates of all 6 atoms:
In  0.625  0.125  0.625
In  0.625  0.625  0.625
In  0.625  0.625  0.125
In  0.125  0.625  0.625
K  0.250  0.250  0.250
Sr  0.000  0.000  0.000

Its energy of formation from the pure elements is -0.237 eV per atom.

Below is a geometry-optimized Rb4Sr3Br10 structure, with properties calculated at the GGA-PBE level.

Lattice parameters (Å, degrees): 5.993 5.993 21.057 98.18 98.18 90.00
Fractional coordinates of all 17 atoms:
Br  0.857  0.357  0.714
Br  0.000  0.500  0.000
Br  0.643  0.143  0.286
Br  0.500  0.000  0.000
Br  0.218  0.218  0.437
Br  0.782  0.782  0.563
Br  0.927  0.927  0.855
Br  0.143  0.643  0.286
Br  0.357  0.857  0.714
Br  0.073  0.073  0.145
Rb  0.299  0.299  0.599
Rb  0.701  0.701  0.401
Rb  0.431  0.431  0.862
Rb  0.569  0.569  0.138
Sr  0.000  0.000  0.000
Sr  0.854  0.854  0.707
Sr  0.146  0.146  0.293

The uncorrected formation energy is -1.9145 eV/atom.

Below is a geometry-optimized Dy7Pd2Pt2 structure, with properties calculated at the GGA-PBE level.

Lattice parameters (Å, degrees): 3.819 9.256 9.256 62.04 78.09 78.09
Fractional coordinates of all 11 atoms:
Dy  0.877  0.379  0.868
Dy  0.192  0.706  0.910
Dy  0.808  0.090  0.294
Dy  0.615  0.492  0.278
Dy  0.123  0.132  0.621
Dy  0.385  0.722  0.508
Dy  0.500  0.989  0.011
Pd  0.500  0.364  0.636
Pd  0.000  0.767  0.233
Pt  0.740  0.867  0.654
Pt  0.260  0.346  0.133

Its energy of formation from the pure elements is -0.812 eV per atom.

Below is a geometry-optimized KRb2ZnH4 structure, with properties calculated at the GGA-PBE level.

Lattice parameters (Å, degrees): 6.764 4.947 19.582 83.22 80.06 46.87
Fractional coordinates of all 16 atoms:
Rb  0.571  0.500  0.858
Rb  0.929  0.500  0.142
Rb  0.179  0.000  0.642
Rb  0.821  0.000  0.358
Zn  0.250  0.500  0.500
Zn  0.500  0.000  0.000
H  0.788  0.750  0.947
H  0.265  0.250  0.447
H  0.485  0.250  0.553
H  0.962  0.750  0.553
H  0.463  0.750  0.053
H  0.485  0.250  0.053
H  0.265  0.250  0.947
H  0.287  0.750  0.447
K  0.000  0.000  0.000
K  0.750  0.500  0.500

Below is a geometry-optimized Rb4H2Se2N structure, with properties calculated at the GGA-PBE level.

Lattice parameters (Å, degrees): 5.971 7.211 7.211 72.32 93.85 93.85
Each line ends with the local moment (μB).
Fractional coordinates of all 9 atoms:
Se  0.214  0.633  0.633  0.27
Se  0.786  0.367  0.367  0.27
N  0.500  0.000  0.000  0.09
Rb  0.731  0.393  0.855  0.00
Rb  0.269  0.145  0.607  0.00
Rb  0.731  0.855  0.393  0.00
Rb  0.269  0.607  0.145  0.00
H  0.600  0.936  0.936  0.00
H  0.400  0.064  0.064  0.00

Below is a geometry-optimized Dy2HoZrN4 structure, with properties calculated at the GGA-PBE level.

Lattice parameters (Å, degrees): 3.398 5.892 5.896 109.27 90.00 90.00
Fractional coordinates of all 8 atoms:
N  0.500  0.762  0.763
N  0.500  0.238  0.237
N  0.000  0.757  0.241
N  0.000  0.243  0.759
Dy  0.500  0.000  0.500
Dy  0.000  0.500  0.500
Ho  0.500  0.500  0.000
Zr  0.000  0.000  0.000

The uncorrected formation energy is -1.7421 eV/atom.

Below is a geometry-optimized NaLiH structure, with properties calculated at the GGA-PBE level.

Lattice parameters (Å, degrees): 3.147 3.147 5.626 90.00 90.00 120.00
Fractional coordinates of all 3 atoms:
Li  0.333  0.667  0.548
H  0.667  0.333  0.384
Na  0.000  0.000  0.068

Below is a geometry-optimized PrDy2Co structure, with properties calculated at the GGA-PBE level.

Lattice parameters (Å, degrees): 3.670 6.382 9.544 90.00 90.00 106.66
Fractional coordinates of all 8 atoms:
Dy  0.643  0.285  0.427
Dy  0.357  0.715  0.573
Dy  0.643  0.285  0.073
Dy  0.357  0.715  0.927
Pr  0.917  0.834  0.250
Pr  0.083  0.166  0.750
Co  0.243  0.485  0.250
Co  0.757  0.515  0.750

Its energy of formation from the pure elements is -0.101 eV per atom.

Below is a geometry-optimized Li2BHBr structure, with properties calculated at the GGA-PBE level.

Lattice parameters (Å, degrees): 5.006 3.386 5.006 90.00 90.00 90.00
Each line ends with the local moment (μB).
Fractional coordinates of all 5 atoms:
Li  0.000  0.000  0.500  0.05
Li  0.500  0.000  0.000  0.04
H  0.000  0.500  0.000  -0.01
Br  0.000  0.000  0.000  0.05
B  0.500  0.500  0.500  0.43

Below is a geometry-optimized BeNi4 structure, with properties calculated at the GGA-PBE level.

Lattice parameters (Å, degrees): 2.550 4.635 4.610 85.88 73.94 74.03
Each line ends with the local moment (μB).
Fractional coordinates of all 5 atoms:
Ni  0.780  0.135  0.305  0.28
Ni  0.585  0.694  0.136  0.28
Ni  0.415  0.306  0.864  0.28
Ni  0.220  0.865  0.695  0.28
Be  0.000  0.500  0.500  -0.01

Its energy of formation from the pure elements is -0.133 eV per atom.

Below is a geometry-optimized Na2TbHgBi2 structure, with properties calculated at the GGA-PBE level.

Lattice parameters (Å, degrees): 4.944 7.536 9.407 90.00 90.00 90.00
Fractional coordinates of all 12 atoms:
Hg  0.500  0.139  0.683
Hg  0.500  0.639  0.317
Na  0.000  0.830  0.846
Na  0.000  0.330  0.154
Na  0.500  0.546  0.972
Na  0.500  0.046  0.028
Bi  0.000  0.296  0.811
Bi  0.500  0.726  0.649
Bi  0.000  0.796  0.189
Bi  0.500  0.226  0.351
Tb  0.000  0.009  0.493
Tb  0.000  0.509  0.507

Its energy of formation from the pure elements is -0.388 eV per atom.

Below is a geometry-optimized PrTm2B6 structure, with properties calculated at the GGA-PBE level.

Lattice parameters (Å, degrees): 3.918 5.716 5.716 120.00 90.00 90.00
Fractional coordinates of all 9 atoms:
B  0.500  0.341  0.000
B  0.500  0.659  0.659
B  0.500  0.000  0.341
B  0.500  0.341  0.341
B  0.500  0.000  0.659
B  0.500  0.659  0.000
Tm  0.000  0.333  0.667
Tm  0.000  0.667  0.333
Pr  0.000  0.000  0.000

Its energy of formation from the pure elements is -0.478 eV per atom.

Below is a geometry-optimized Y2ScZn3 structure, with properties calculated at the GGA-PBE level.

Lattice parameters (Å, degrees): 3.502 3.502 10.538 90.00 90.00 90.00
Fractional coordinates of all 6 atoms:
Zn  0.000  0.000  0.646
Zn  0.000  0.000  0.000
Zn  0.000  0.000  0.354
Sc  0.500  0.500  0.500
Y  0.500  0.500  0.173
Y  0.500  0.500  0.827

Its energy of formation from the pure elements is -0.355 eV per atom.

Below is a geometry-optimized Ce2Sm3Ge4 structure, with properties calculated at the GGA-PBE level.

Lattice parameters (Å, degrees): 7.804 8.189 7.959 90.00 90.00 113.22
Each line ends with the local moment (μB).
Fractional coordinates of all 18 atoms:
Ce  0.441  0.796  0.682  0.67
Ce  0.559  0.204  0.318  0.67
Ce  0.941  0.796  0.818  0.67
Ce  0.059  0.204  0.182  0.67
Ge  0.313  0.088  0.971  -0.03
Ge  0.687  0.912  0.029  -0.03
Ge  0.813  0.088  0.529  -0.03
Ge  0.876  0.494  0.126  -0.02
Ge  0.376  0.494  0.374  -0.02
Ge  0.187  0.912  0.471  -0.03
Ge  0.624  0.506  0.626  -0.02
Ge  0.124  0.506  0.874  -0.02
Sm  0.716  0.232  0.836  0.02
Sm  0.284  0.768  0.164  0.02
Sm  0.500  0.500  0.000  0.07
Sm  0.000  0.500  0.500  0.07
Sm  0.784  0.768  0.336  0.02
Sm  0.216  0.232  0.664  0.02

Its energy of formation from the pure elements is -0.773 eV per atom.

Below is a geometry-optimized LaAl4Ag6 structure, with properties calculated at the GGA-PBE level.

Lattice parameters (Å, degrees): 4.367 7.470 7.470 120.00 90.00 90.00
Fractional coordinates of all 11 atoms:
Ag  0.000  0.536  0.071
Ag  0.000  0.929  0.464
Ag  0.500  0.594  0.797
Ag  0.500  0.203  0.797
Ag  0.500  0.203  0.406
Ag  0.000  0.536  0.464
Al  0.500  0.404  0.202
Al  0.500  0.798  0.202
Al  0.000  0.333  0.667
Al  0.500  0.798  0.596
La  0.000  0.000  0.000

Its energy of formation from the pure elements is -0.210 eV per atom.

Number 1: Fermi-level density of states 0.84 states/eV/atom, calculated total energy -5.6203 eV/atom. Number 2: Fermi-level density of states 1.23 states/eV/atom, calculated total energy -5.4124 eV/atom. Number 3: Fermi-level density of states 0.47 states/eV/atom, calculated total energy -2.7947 eV/atom. Number 4: Fermi-level density of states 0.72 states/eV/atom, calculated total energy -9.7265 eV/atom. Number 5: Fermi-level density of states 1.15 states/eV/atom, calculated total energy -6.4953 eV/atom. Number 6: Fermi-level density of states 0.42 states/eV/atom, calculated total energy -2.6366 eV/atom. Number 7: Fermi-level density of states 1.08 states/eV/atom, calculated total energy -5.2212 eV/atom. Number 8: Fermi-level density of states 0.66 states/eV/atom, calculated total energy -5.5189 eV/atom. Number 9: Fermi-level density of states 0.52 states/eV/atom, calculated total energy -2.5256 eV/atom. Number 10: Fermi-level density of states 0.00 states/eV/atom, calculated total energy -3.4230 eV/atom. Number 11: Fermi-level density of states 1.11 states/eV/atom, calculated total energy -5.7828 eV/atom. Number 12: Fermi-level density of states 0.19 states/eV/atom, calculated total energy -2.2761 eV/atom. Number 13: Fermi-level density of states 0.06 states/eV/atom, calculated total energy -3.3586 eV/atom. Number 14: Fermi-level density of states 0.13 states/eV/atom, calculated total energy -8.6960 eV/atom. Number 15: Fermi-level density of states 0.18 states/eV/atom, calculated total energy -2.2987 eV/atom. Number 16: Fermi-level density of states 1.26 states/eV/atom, calculated total energy -5.3731 eV/atom. Number 17: Fermi-level density of states 0.47 states/eV/atom, calculated total energy -2.3678 eV/atom. Number 18: Fermi-level density of states 1.77 states/eV/atom, calculated total energy -5.5036 eV/atom. Number 19: Fermi-level density of states 0.36 states/eV/atom, calculated total energy -2.9431 eV/atom. Number 20: Fermi-level density of states 0.44 states/eV/atom, calculated total energy -6.4539 eV/atom. Number 21: Fermi-level density of states 1.03 states/eV/atom, calculated total energy -4.2019 eV/atom. Number 22: Fermi-level density of states 1.80 states/eV/atom, calculated total energy -5.7173 eV/atom. Number 23: Fermi-level density of states 0.40 states/eV/atom, calculated total energy -3.5744 eV/atom.